# 1
Computed, not measured: a geometry-optimized CaMgAsSe2 structure at the PBE-GGA level of DFT.

For the energy relative to the elements, uncorrected, the calculation gives 99 meV per atom. The density of states at the Fermi level is 5.7 states/eV per cell. For the total energy, the calculation gives -14.72 eV for the cell shown. The calculation puts the excess energy over the best structure of this formula in the dataset at 560 meV/atom.

The structure belongs to space group P4/mmm (No. 123); the cell edges are 5.385, 5.385 and 5.351 Å and the angles 90.00°, 90.00° and 90.00°. The distinct sites, in fractional coordinates, are Ca at (0.000, 0.000, 0.000), Mg at (0.500, 0.500, 0.500), As at (0.000, 0.000, 0.500) and Se at (0.000, 0.500, 0.000).

=====

# 2
Computed, not measured: a geometry-optimized SrCaMg2As structure at the PBE-GGA level of DFT.

The density of states at the Fermi level is 2.6 states/eV per cell. For the total energy, the calculation gives -9.17 eV for the cell shown. The formation energy is 45.3 kJ per mole of atoms.

The structure belongs to space group P4/mmm (No. 123); the cell edges are 5.881, 5.881 and 5.669 Å and the angles 90.00°, 90.00° and 90.00°. The distinct sites, in fractional coordinates, are Sr at (0.000, 0.000, 0.000), Ca at (0.500, 0.500, 0.500), Mg at (0.000, 0.500, 0.000) and As at (0.000, 0.000, 0.500).